Run P
Density functional theory data (meta-GGA SCAN) for a crystal of Ba2CuIr relaxed with PBEsol.

Lattice parameters (Å, degrees): 4.5340 4.6032 11.0055 90.00 90.00 90.00
Closest atoms and distances in Å follow each position.
Space group Amm2 (No. 38)
Asymmetric unit:
Ba: 0.0000 0.0000 0.0000  3 Cu 3.10-3.43, 4 Ir 3.41
Ba: 0.5000 0.0000 0.2885  3 Ir 3.10-3.43, 4 Cu 3.41
Cu: 0.0000 0.0000 0.6886  2 Ir 2.47
Ir: 0.5000 0.0000 0.6004  2 Cu 2.47

Computed properties:
M_tot in μB/f.u.: 0.000

Run Q
Density functional theory data (meta-GGA SCAN) for a crystal of Ba2CuIr relaxed with PBEsol.

Lattice parameters (Å, degrees): 7.5107 7.5107 7.5107 90.00 90.00 90.00
Closest atoms and distances in Å follow each position.
Space group Fm-3m (No. 225)
Asymmetric unit:
Ba: 0.2500 0.2500 0.2500  4 Cu 3.25, 4 Ir 3.25
Cu: 0.0000 0.0000 0.0000  8 Ba 3.25
Ir: 0.0000 0.0000 0.5000  8 Ba 3.25

Computed properties:
M_tot in μB/f.u.: 0.000

Run R
Density functional theory data (meta-GGA SCAN) for a crystal of Ba2CuIr relaxed with PBEsol.

Lattice parameters (Å, degrees): 4.4746 4.4746 6.1660 90.00 90.00 90.00
Closest atoms and distances in Å follow each position.
Space group P4/mmm (No. 123)
Asymmetric unit:
Ba: 0.0000 0.0000 0.0000  2 Cu 3.08, 4 Ir 3.16
Ba: 0.5000 0.5000 0.5000  2 Ir 3.08, 4 Cu 3.16
Cu: 0.0000 0.0000 0.5000  6 Ba 3.08-3.16
Ir: 0.5000 0.5000 0.0000  6 Ba 3.08-3.16

Computed properties:
M_tot in μB/f.u.: 0.198

In terms of stability, run P leads; the second structure lies 225 meV/atom higher.